Density functional theory data (GGA+U) for a geometry-optimized NaV2F8 structure.

Cell: 3.9633 7.0181 7.0115 Å, 122.68 89.31 90.66°
Closest atoms and distances in Å follow each position.
Fractional positions:
Na  0.0000  0.0000  0.0000  6 F 2.35-2.48
F  0.2508  0.6670  0.3330  2 V 1.98
F  0.7492  0.3330  0.6670  2 V 1.98
F  0.7576  0.8111  0.1839  1 V 1.81
F  0.2519  0.1808  0.3588  1 V 1.82
F  0.2518  0.6408  0.8148  1 V 1.82
F  0.2424  0.1889  0.8161  1 V 1.81
F  0.7481  0.8192  0.6412  1 V 1.82
F  0.7482  0.3592  0.1852  1 V 1.82
V  0.2495  0.3332  0.6671  5 F 1.81-1.98
V  0.7505  0.6668  0.3329  5 F 1.81-1.98

Results
- offset from the most stable computed form (kJ/mol of atoms) = 1.55
- N(E_F) (states/eV/atom) = 0.272
- symmetry = P-1 (2)
- energy (eV per atom) = -5.529